i) Density functional theory data (PBE) for a geometry-optimized Tb3GaRh2 structure.

Lattice parameters (Å, degrees): 3.8878 11.9366 11.8823 90.00 90.00 90.00
Closest atoms and distances in Å follow each position.
Sites, in units of the cell vectors:
Rh (0.2500, 0.4923, 0.8092)  1 Ga 2.67, 4 Tb 2.81-2.96
Ga (0.7500, 0.8712, 0.8801)  3 Rh 2.52-2.67
Ga (0.2500, 0.1288, 0.1199)  3 Rh 2.52-2.67
Rh (0.2500, 0.0077, 0.3092)  1 Ga 2.67, 4 Tb 2.81-2.96
Rh (0.7500, 0.1958, 0.0037)  2 Ga 2.52
Rh (0.7500, 0.5077, 0.1908)  1 Ga 2.67, 4 Tb 2.81-2.96
Rh (0.7500, 0.9923, 0.6908)  1 Ga 2.67, 4 Tb 2.81-2.96
Tb (0.2500, 0.3773, 0.0557)  5 Rh 2.96-3.24, 1 Ga 3.06
Tb (0.2500, 0.0715, 0.8678)  4 Rh 2.93-3.02, 3 Ga 3.07-3.09
Tb (0.7500, 0.5715, 0.6322)  4 Rh 2.93-3.02, 3 Ga 3.07-3.09
Tb (0.2500, 0.8227, 0.6988)  3 Rh 2.81-2.84, 2 Ga 2.96
Tb (0.7500, 0.6227, 0.9443)  5 Rh 2.96-3.24, 1 Ga 3.06
Tb (0.7500, 0.9285, 0.1322)  4 Rh 2.93-3.02, 3 Ga 3.07-3.09
Tb (0.2500, 0.1227, 0.5557)  5 Rh 2.96-3.24, 1 Ga 3.06
Tb (0.7500, 0.8773, 0.4443)  5 Rh 2.96-3.24, 1 Ga 3.06
Rh (0.2500, 0.6958, 0.4963)  2 Ga 2.52
Ga (0.7500, 0.6288, 0.3801)  3 Rh 2.52-2.67
Tb (0.7500, 0.3227, 0.8012)  3 Rh 2.81-2.84, 2 Ga 2.96
Tb (0.7500, 0.1773, 0.3012)  3 Rh 2.81-2.84, 2 Ga 2.96
Tb (0.2500, 0.6773, 0.1988)  3 Rh 2.81-2.84, 2 Ga 2.96
Rh (0.2500, 0.8042, 0.9963)  2 Ga 2.52
Rh (0.7500, 0.3042, 0.5037)  2 Ga 2.52
Tb (0.2500, 0.4285, 0.3678)  4 Rh 2.93-3.02, 3 Ga 3.07-3.09
Ga (0.2500, 0.3712, 0.6199)  3 Rh 2.52-2.67

Output
As for the total moment: 0.00 Bohr magnetons per cell. The calculated volume is 551 Å³/cell. As for the symmetry: Pnma.



ii) Density functional theory data (PBE) for a geometry-optimized Tb3GaRh2 structure.

Lattice parameters (Å, degrees): 3.5134 3.5134 10.3898 90.00 90.00 90.00
Closest atoms and distances in Å follow each position.
Sites, in units of the cell vectors:
Ga (0.5000, 0.5000, 0.5000)  8 Tb 3.11
Tb (0.0000, 0.0000, 0.6794)  4 Rh 2.97, 4 Ga 3.11
Rh (0.5000, 0.5000, 0.8353)  8 Tb 2.97-3.02
Tb (0.0000, 0.0000, 0.3206)  4 Rh 2.97, 4 Ga 3.11
Rh (0.5000, 0.5000, 0.1647)  8 Tb 2.97-3.02
Tb (0.0000, 0.0000, 0.0000)  8 Rh 3.02, 2 Tb 3.33

Output
As for the total moment: 0.00 Bohr magnetons per cell. The calculated volume is 128 Å³/cell. As for the symmetry: P4/mmm.



Least stable structure: i)